VASP calculation (PBE) on a relaxed AlTlP2 crystal.

```
AlTlP2
1.0
4.791 0.000 0.000
2.396 4.149 0.000
2.396 1.383 3.912
P Tl Al
2 1 1
Cartesian
0.000 0.000 0.000
2.396 1.383 0.978
7.187 4.149 2.934
4.791 2.766 1.956
```

Computed properties:
crystal system = cubic
energy relative to the elements = 0.604 eV per atom
calculated volume = 19.44 Å³/atom

VASP calculation (PBE) on a relaxed AlTlP2 crystal.

```
AlTlP2
1.0
0.000 3.368 3.368
3.368 0.000 3.368
3.368 3.368 0.000
P Tl Al
2 1 1
Cartesian
1.684 1.684 1.684
5.052 5.052 5.052
3.368 3.368 3.368
0.000 0.000 0.000
```

Computed properties:
crystal system = cubic
energy relative to the elements = 0.512 eV per atom
calculated volume = 19.11 Å³/atom

VASP calculation (PBE) on a relaxed Al2TlP crystal.

```
Al2TlP
1.0
5.688 0.017 -0.087
4.604 3.340 -0.087
1.031 0.336 5.235
P Tl Al
1 1 2
Cartesian
5.167 1.686 4.031
2.477 0.808 1.166
1.589 0.518 4.221
8.784 2.865 3.411
```

Computed properties:
crystal system = monoclinic
energy relative to the elements = 0.108 eV per atom
calculated volume = 24.85 Å³/atom

VASP calculation (PBE) on a relaxed Al2TlP crystal.

```
Al2TlP
1.0
-0.719 6.019 -0.413
-4.248 2.887 -3.247
0.790 -4.507 3.998
P Tl Al
1 1 2
Cartesian
-2.483 4.453 -1.830
-1.206 2.983 0.877
0.000 0.000 0.000
-2.971 1.417 -0.539
```

Computed properties:
crystal system = tetragonal
energy relative to the elements = 0.350 eV per atom
calculated volume = 20.51 Å³/atom

VASP calculation (PBE) on a relaxed AlTl2P crystal.

```
AlTl2P
1.0
-3.336 1.664 -4.504
3.808 -4.340 -0.921
-2.196 -2.107 0.848
P Tl Al
1 2 1
Cartesian
0.806 -3.223 -0.036
0.000 0.000 0.000
0.236 -1.338 -2.712
-2.766 -0.222 -1.828
```

Computed properties:
crystal system = orthorhombic
energy relative to the elements = 0.412 eV per atom
calculated volume = 23.95 Å³/atom

VASP calculation (PBE) on a relaxed AlTlP2 crystal.

```
AlTlP2
1.0
-5.330 0.838 2.105
-2.224 -0.897 -5.272
-4.210 -5.649 -0.444
P Tl Al
4 2 2
Cartesian
-4.465 -1.032 0.468
-3.305 -1.837 -3.066
-6.072 -4.292 -1.715
-9.685 -4.256 -2.910
0.000 0.000 0.000
-6.659 -2.420 0.039
-3.777 -0.030 -1.584
-5.105 -3.288 -3.650
```

Computed properties:
crystal system = tetragonal
energy relative to the elements = -0.187 eV per atom
calculated volume = 24.11 Å³/atom

VASP calculation (PBE) on a relaxed Al2TlP crystal.

```
Al2TlP
1.0
-1.007 -1.281 2.906
-0.758 -2.790 -1.492
6.095 -5.134 -0.151
P Tl Al
1 1 2
Cartesian
0.831 -2.621 1.042
3.499 -6.583 0.221
-0.279 -2.926 -1.387
2.190 -3.825 -0.927
```

Computed properties:
crystal system = monoclinic
energy relative to the elements = 0.123 eV per atom
calculated volume = 19.95 Å³/atom

VASP calculation (PBE) on a relaxed AlTl2P crystal.

```
AlTl2P
1.0
-2.842 0.220 -4.049
3.903 -2.676 -1.456
-1.710 -3.842 0.157
P Tl Al
1 2 1
Cartesian
1.096 -3.259 -0.650
0.000 0.000 0.000
0.531 -1.228 -2.753
-2.276 -1.811 -1.946
```

Computed properties:
crystal system = monoclinic
energy relative to the elements = 0.402 eV per atom
calculated volume = 24.19 Å³/atom